# 1
{"formula": "Dy3SnRh3", "functional": "PBE", "state": "optimized geometry", "volume_a3_per_atom": 21.45, "ef_kcal_per_mol_atoms": -19.15, "total_energy_ha_per_atom": -0.23980, "space_group": "Cmcm", "polymorph_energy_kcal_per_mol_atoms": 0.000, "lattice": [[2.195, -5.166, 0.000], [2.195, 5.166, 0.000], [0.000, 0.000, 13.246]], "species": ["Dy", "Dy", "Dy", "Dy", "Dy", "Dy", "Sn", "Sn", "Rh", "Rh", "Rh", "Rh", "Rh", "Rh"], "frac_coords": [[0.022, 0.978, 0.750], [0.300, 0.700, 0.606], [0.300, 0.700, 0.894], [0.700, 0.300, 0.106], [0.700, 0.300, 0.394], [0.978, 0.022, 0.250], [0.000, 0.000, 0.000], [0.000, 0.000, 0.500], [0.246, 0.754, 0.250], [0.407, 0.593, 0.094], [0.407, 0.593, 0.406], [0.593, 0.407, 0.594], [0.593, 0.407, 0.906], [0.754, 0.246, 0.750]]}

# 2
{"formula": "Dy3Sn3Rh2", "functional": "PBE", "state": "optimized geometry", "volume_a3_per_atom": 23.30, "ef_kcal_per_mol_atoms": -18.50, "total_energy_ha_per_atom": -0.21561, "space_group": "Pnma", "lattice": [[8.470, 0.000, 0.000], [0.000, 15.104, 0.000], [0.000, 0.000, 5.829]], "species": ["Dy", "Dy", "Dy", "Dy", "Dy", "Dy", "Dy", "Dy", "Dy", "Dy", "Dy", "Dy", "Sn", "Sn", "Sn", "Sn", "Sn", "Sn", "Sn", "Sn", "Sn", "Sn", "Sn", "Sn", "Rh", "Rh", "Rh", "Rh", "Rh", "Rh", "Rh", "Rh"], "frac_coords": [[0.030, 0.112, 0.114], [0.030, 0.388, 0.114], [0.170, 0.250, 0.636], [0.330, 0.750, 0.136], [0.470, 0.612, 0.614], [0.470, 0.888, 0.614], [0.530, 0.112, 0.386], [0.530, 0.388, 0.386], [0.670, 0.250, 0.864], [0.830, 0.750, 0.364], [0.970, 0.612, 0.886], [0.970, 0.888, 0.886], [0.184, 0.750, 0.627], [0.193, 0.034, 0.610], [0.193, 0.466, 0.610], [0.307, 0.534, 0.110], [0.307, 0.966, 0.110], [0.316, 0.250, 0.127], [0.684, 0.750, 0.873], [0.693, 0.034, 0.890], [0.693, 0.466, 0.890], [0.807, 0.534, 0.390], [0.807, 0.966, 0.390], [0.816, 0.250, 0.373], [0.084, 0.611, 0.366], [0.084, 0.889, 0.366], [0.416, 0.111, 0.866], [0.416, 0.389, 0.866], [0.584, 0.611, 0.134], [0.584, 0.889, 0.134], [0.916, 0.111, 0.634], [0.916, 0.389, 0.634]]}

# 3
{"formula": "Dy4SnRh2", "functional": "PBE", "state": "optimized geometry", "volume_a3_per_atom": 24.78, "ef_kcal_per_mol_atoms": -16.32, "total_energy_ha_per_atom": -0.22086, "space_group": "P1", "lattice": [[6.880, 0.000, 0.000], [-1.738, 6.813, 0.000], [-2.568, -3.408, 7.402]], "species": ["Dy", "Dy", "Dy", "Dy", "Dy", "Dy", "Dy", "Dy", "Sn", "Sn", "Rh", "Rh", "Rh", "Rh"], "frac_coords": [[0.000, 0.000, 0.000], [0.043, 0.720, 0.582], [0.122, 0.299, 0.739], [0.260, 0.629, 0.187], [0.507, 0.564, 0.581], [0.586, 0.143, 0.739], [0.661, 0.160, 0.321], [0.734, 0.602, 0.134], [0.173, 0.055, 0.395], [0.440, 0.821, 0.926], [0.039, 0.376, 0.311], [0.387, 0.224, 0.010], [0.729, 0.888, 0.495], [0.894, 0.553, 0.825]]}

# 4
{"formula": "Dy4Sn6Rh7", "functional": "PBE", "state": "optimized geometry", "volume_a3_per_atom": 19.89, "ef_kcal_per_mol_atoms": -18.81, "total_energy_ha_per_atom": -0.23294, "space_group": "Im-3m", "lattice": [[-4.389, 4.389, 4.389], [4.389, -4.389, 4.389], [4.389, 4.389, -4.389]], "species": ["Dy", "Dy", "Dy", "Dy", "Sn", "Sn", "Sn", "Sn", "Sn", "Sn", "Rh", "Rh", "Rh", "Rh", "Rh", "Rh", "Rh"], "frac_coords": [[0.000, 0.000, 0.500], [0.000, 0.500, 0.000], [0.500, 0.000, 0.000], [0.500, 0.500, 0.500], [0.000, 0.316, 0.316], [0.000, 0.684, 0.684], [0.316, 0.000, 0.316], [0.316, 0.316, 0.000], [0.684, 0.000, 0.684], [0.684, 0.684, 0.000], [0.000, 0.000, 0.000], [0.250, 0.500, 0.750], [0.250, 0.750, 0.500], [0.500, 0.250, 0.750], [0.500, 0.750, 0.250], [0.750, 0.250, 0.500], [0.750, 0.500, 0.250]]}

# 5
{"formula": "DySn3Rh2", "functional": "PBE", "state": "optimized geometry", "volume_a3_per_atom": 21.44, "ef_kcal_per_mol_atoms": -9.97, "total_energy_ha_per_atom": -0.20768, "space_group": "P-3m1", "lattice": [[6.611, 0.000, 0.000], [-3.305, 5.725, 0.000], [0.000, 0.000, 6.798]], "species": ["Dy", "Dy", "Sn", "Sn", "Sn", "Sn", "Sn", "Sn", "Rh", "Rh", "Rh", "Rh"], "frac_coords": [[0.333, 0.667, 0.182], [0.667, 0.333, 0.818], [0.169, 0.338, 0.787], [0.169, 0.831, 0.787], [0.338, 0.169, 0.213], [0.662, 0.831, 0.787], [0.831, 0.169, 0.213], [0.831, 0.662, 0.213], [0.000, 0.000, 0.500], [0.000, 0.500, 0.500], [0.500, 0.000, 0.500], [0.500, 0.500, 0.500]]}

# 6
{"formula": "Dy2SnRh3", "functional": "PBE", "state": "optimized geometry", "volume_a3_per_atom": 18.94, "ef_kcal_per_mol_atoms": -18.65, "total_energy_ha_per_atom": -0.24569, "space_group": "P-3m1", "lattice": [[4.760, 0.000, 0.000], [-2.380, 4.123, 0.000], [0.000, 0.000, 11.583]], "species": ["Dy", "Dy", "Dy", "Dy", "Sn", "Sn", "Rh", "Rh", "Rh", "Rh", "Rh", "Rh"], "frac_coords": [[0.000, 0.000, 0.000], [0.000, 0.000, 0.500], [0.333, 0.667, 0.177], [0.667, 0.333, 0.823], [0.333, 0.667, 0.665], [0.667, 0.333, 0.335], [0.000, 0.000, 0.253], [0.000, 0.000, 0.747], [0.333, 0.667, 0.421], [0.333, 0.667, 0.912], [0.667, 0.333, 0.088], [0.667, 0.333, 0.579]]}

# 7
{"formula": "Dy2Sn5Rh3", "functional": "PBE", "state": "optimized geometry", "volume_a3_per_atom": 21.31, "ef_kcal_per_mol_atoms": -16.40, "total_energy_ha_per_atom": -0.21456, "space_group": "Cmc2_1", "lattice": [[2.232, -13.234, 0.000], [2.232, 13.234, 0.000], [0.000, 0.000, 7.215]], "species": ["Dy", "Dy", "Dy", "Dy", "Sn", "Sn", "Sn", "Sn", "Sn", "Sn", "Sn", "Sn", "Sn", "Sn", "Rh", "Rh", "Rh", "Rh", "Rh", "Rh"], "frac_coords": [[0.024, 0.976, 0.500], [0.328, 0.672, 0.481], [0.672, 0.328, 0.981], [0.976, 0.024, 0.000], [0.097, 0.903, 0.128], [0.206, 0.794, 0.690], [0.209, 0.791, 0.261], [0.380, 0.620, 0.004], [0.452, 0.548, 0.337], [0.548, 0.452, 0.837], [0.620, 0.380, 0.504], [0.791, 0.209, 0.761], [0.794, 0.206, 0.190], [0.903, 0.097, 0.628], [0.106, 0.894, 0.754], [0.278, 0.722, 0.974], [0.450, 0.550, 0.722], [0.550, 0.450, 0.222], [0.722, 0.278, 0.474], [0.894, 0.106, 0.254]]}

# 8
{"formula": "Dy6Sn2Rh", "functional": "PBE", "state": "optimized geometry", "volume_a3_per_atom": 30.26, "ef_kcal_per_mol_atoms": -10.30, "total_energy_ha_per_atom": -0.19188, "space_group": "Immm", "lattice": [[-2.567, 3.564, 7.440], [2.567, -3.564, 7.440], [2.567, 3.564, -7.440]], "species": ["Dy", "Dy", "Dy", "Dy", "Dy", "Dy", "Sn", "Sn", "Rh"], "frac_coords": [[0.090, 0.349, 0.741], [0.229, 0.000, 0.229], [0.393, 0.651, 0.741], [0.607, 0.349, 0.259], [0.771, 0.000, 0.771], [0.910, 0.651, 0.259], [0.328, 0.828, 0.500], [0.672, 0.172, 0.500], [0.000, 0.500, 0.500]]}